{"formula": "TbDy2Fe2B2N3", "functional": "GGA-PBE", "state": "optimized geometry", "space_group": "I4/mmm (139)", "final_energy_ev_per_cell": -80.4, "m_tot_mub_per_fu": 2.4, "lattice": [[-4.978, 1.107, 9.175], [-8.288, 2.579, 5.904], [5.794, -4.128, -7.719]], "species": ["Fe", "Fe", "N", "N", "N", "Dy", "Dy", "Tb", "B", "B"], "fractional_positions": [[0.250, 0.750, 0.500], [0.750, 0.250, 0.500], [0.500, 0.500, 0.000], [0.885, 0.885, 0.000], [0.115, 0.115, 0.000], [0.378, 0.378, 0.000], [0.622, 0.622, 0.000], [0.000, 0.000, 0.000], [0.812, 0.812, 0.000], [0.188, 0.188, 0.000]]}